Record 1
TaTlP2 | GGA-PBE | relaxed

Geometry as CIF:
```
data_TaTlP2
_chemical_formula_sum 'Ta4 Tl4 P8'
_cell_length_a 6.5010
_cell_length_b 6.5010
_cell_length_c 11.0416
_cell_angle_alpha 90.00
_cell_angle_beta 90.00
_cell_angle_gamma 90.00
_symmetry_space_group_name_H-M 'I -4 2 d'
_symmetry_Int_Tables_number 122
_symmetry_space_group_name_Hall 'I -4 2bw'
loop_
_atom_site_label
_atom_site_type_symbol
_atom_site_fract_x
_atom_site_fract_y
_atom_site_fract_z
Ta1 Ta 0.0000 0.0000 0.0000
Tl1 Tl 0.0000 0.0000 0.5000
P1 P 0.1626 0.2500 0.1250
```

Summary:
**V**: 467 Å³ per cell
**Offset from the most stable computed form**: 255 meV/atom

Record 2
Li2La2Hg | GGA-PBE | relaxed

Geometry as CIF:
```
data_Li2La2Hg
_chemical_formula_sum 'Li4 La4 Hg2'
_cell_length_a 8.4242
_cell_length_b 8.4242
_cell_length_c 4.2128
_cell_angle_alpha 90.00
_cell_angle_beta 90.00
_cell_angle_gamma 90.00
_symmetry_space_group_name_H-M 'P 4/m b m'
_symmetry_Int_Tables_number 127
_symmetry_space_group_name_Hall '-P 4 2ab'
loop_
_atom_site_label
_atom_site_type_symbol
_atom_site_fract_x
_atom_site_fract_y
_atom_site_fract_z
Li1 Li 0.1643 0.3357 0.0000
La1 La 0.1304 0.6304 0.5000
Hg1 Hg 0.0000 0.0000 0.5000
```

Summary:
**V**: 299 Å³ per cell
**Offset from the most stable computed form**: 298 meV/atom

Sequential final energy output: -99.3 -26.4 eV/cell
Sequential calculated formation energy output: 0.05 0.16 eV/atom